Record 1
# Ba2Be2P2N

A relaxed structure of Ba2Be2P2N (GGA-PBE, Alexandria via LeMat-Bulk).

Cell: 3.952 6.102 6.605 Å, 71.19 72.59 71.11°
Sites, in units of the cell vectors:
P1 0.212 0.372 0.205
P2 0.788 0.628 0.795
Ba1 0.456 0.794 0.294
Ba2 0.544 0.206 0.706
Be1 0.160 0.752 0.928
Be2 0.840 0.248 0.072
N1 0.000 0.000 0.000

Computed properties:
Energy relative to the elements, uncorrected   -0.75 eV per atom
Space group   C2/m, No. 12


Record 2
# BaPa2BeN4

A relaxed structure of BaPa2BeN4 (GGA-PBE, Alexandria via LeMat-Bulk).

Cell: 3.578 6.325 11.191 Å, 90.00 90.00 106.43°
Sites, in units of the cell vectors:
N1 0.400 0.800 0.750
N2 0.753 0.505 0.613
N3 0.000 0.000 0.500
N4 0.753 0.505 0.887
N5 0.600 0.200 0.250
N6 0.000 0.000 0.000
N7 0.247 0.495 0.113
N8 0.247 0.495 0.387
Pa1 0.370 0.739 0.948
Pa2 0.630 0.261 0.448
Pa3 0.370 0.739 0.552
Pa4 0.630 0.261 0.052
Be1 0.816 0.631 0.750
Be2 0.184 0.369 0.250
Ba1 0.909 0.818 0.250
Ba2 0.091 0.182 0.750

Computed properties:
Energy relative to the elements, uncorrected   -1.32 eV per atom
Space group   Cmcm, No. 63


Record 3
# BaPaBeN3

A relaxed structure of BaPaBeN3 (GGA-PBE, Alexandria via LeMat-Bulk).

Cell: 3.543 7.702 7.454 Å, 106.05 90.00 90.00°
Sites, in units of the cell vectors:
Pa1 0.750 0.329 0.827
Pa2 0.250 0.671 0.173
Be1 0.750 0.934 0.398
Be2 0.250 0.066 0.602
N1 0.250 0.851 0.470
N2 0.750 0.469 0.146
N3 0.250 0.140 0.840
N4 0.250 0.531 0.854
N5 0.750 0.860 0.160
N6 0.750 0.149 0.530
Ba1 0.250 0.193 0.242
Ba2 0.750 0.807 0.758

Computed properties:
Energy relative to the elements, uncorrected   -1.26 eV per atom
Space group   P2_1/m, No. 11


Record 4
# BaPmBeN2

A relaxed structure of BaPmBeN2 (GGA-PBE, Alexandria via LeMat-Bulk).

Cell: 5.337 5.680 7.020 Å, 90.00 90.00 90.00°
Sites, in units of the cell vectors:
Ba1 0.000 0.500 0.750
Ba2 0.000 0.500 0.250
N1 0.234 0.159 0.000
N2 0.766 0.841 0.000
N3 0.234 0.841 0.500
N4 0.766 0.159 0.500
Pm1 0.500 0.000 0.750
Pm2 0.500 0.000 0.250
Be1 0.000 0.000 0.500
Be2 0.000 0.000 0.000

Computed properties:
Energy relative to the elements, uncorrected   -0.76 eV per atom
Space group   Pccm, No. 49


Record 5
# BaBePt2N

A relaxed structure of BaBePt2N (GGA-PBE, Alexandria via LeMat-Bulk).

Cell: 4.173 5.496 4.173 Å, 90.00 90.00 90.00°
Sites, in units of the cell vectors:
Pt1 0.000 0.000 0.500
Pt2 0.500 0.000 0.000
Ba1 0.000 0.500 0.000
Be1 0.500 0.500 0.500
N1 0.000 0.000 0.000

Computed properties:
Energy relative to the elements, uncorrected   0.57 eV per atom
Space group   P4/mmm, No. 123


Record 6
# RbBaBe2N

A relaxed structure of RbBaBe2N (GGA-PBE, Alexandria via LeMat-Bulk).

Cell: 5.463 4.824 5.463 Å, 90.00 90.00 90.00°
Sites, in units of the cell vectors:
Rb1 0.000 0.000 0.000
N1 0.000 0.500 0.000
Be1 0.000 0.000 0.500
Be2 0.500 0.000 0.000
Ba1 0.500 0.500 0.500

Computed properties:
Energy relative to the elements, uncorrected   1.78 eV per atom
Space group   P4/mmm, No. 123


Record 7
# BaBeS2N

A relaxed structure of BaBeS2N (GGA-PBE, Alexandria via LeMat-Bulk).

Cell: 6.054 6.054 5.324 Å, 90.00 90.00 90.00°
Last column: magnetic moment on the atom in μB.
Sites, in units of the cell vectors:
S1 0.500 0.000 0.000  0.62
S2 0.000 0.500 0.000  0.62
N1 0.000 0.000 0.500  1.53
Ba1 0.000 0.000 0.000  0.04
Be1 0.500 0.500 0.500  0.20

Computed properties:
Energy relative to the elements, uncorrected   1.48 eV per atom
Energy above the most stable polymorph in this dataset   8.51 eV/f.u.
Space group   P4/mmm, No. 123


Record 8
# BaBeSN2

A relaxed structure of BaBeSN2 (GGA-PBE, Alexandria via LeMat-Bulk).

Cell: 4.248 4.248 4.467 Å, 90.00 90.00 90.00°
Last column: magnetic moment on the atom in μB.
Sites, in units of the cell vectors:
N1 0.500 0.000 0.000  1.17
N2 0.000 0.500 0.000  1.17
Ba1 0.500 0.500 0.500  0.04
Be1 0.000 0.000 0.000  -0.02
S1 0.000 0.000 0.500  0.32

Computed properties:
Energy relative to the elements, uncorrected   0.47 eV per atom
Energy above the most stable polymorph in this dataset   0.00 eV/f.u.
Space group   P4/mmm, No. 123


Record 9
# BaBeSN2

A relaxed structure of BaBeSN2 (GGA-PBE, Alexandria via LeMat-Bulk).

Cell: 4.299 4.299 6.492 Å, 90.00 90.00 90.00°
Last column: magnetic moment on the atom in μB.
Sites, in units of the cell vectors:
Ba1 0.000 0.000 0.000  0.02
Be1 0.500 0.500 0.500  -0.02
N1 0.000 0.500 0.000  -0.06
N2 0.500 0.000 0.000  -0.06
S1 0.000 0.000 0.500  0.04

Computed properties:
Energy relative to the elements, uncorrected   2.12 eV per atom
Energy above the most stable polymorph in this dataset   8.26 eV/f.u.
Space group   P4/mmm, No. 123


Record 10
# BaBeS2N

A relaxed structure of BaBeS2N (GGA-PBE, Alexandria via LeMat-Bulk).

Cell: 5.332 5.332 3.355 Å, 90.00 90.00 90.00°
Last column: magnetic moment on the atom in μB.
Sites, in units of the cell vectors:
S1 0.000 0.500 0.000  0.21
S2 0.500 0.000 0.000  0.21
Be1 0.000 0.000 0.000  -0.03
Ba1 0.500 0.500 0.500  0.00
N1 0.000 0.000 0.500  0.81

Computed properties:
Energy relative to the elements, uncorrected   -0.22 eV per atom
Energy above the most stable polymorph in this dataset   0.00 eV/f.u.
Space group   P4/mmm, No. 123


Record 11
# BaBeSe2N

A relaxed structure of BaBeSe2N (GGA-PBE, Alexandria via LeMat-Bulk).

Cell: 6.317 6.317 5.307 Å, 90.00 90.00 90.00°
Last column: magnetic moment on the atom in μB.
Sites, in units of the cell vectors:
Se1 0.500 0.000 0.000  0.64
Se2 0.000 0.500 0.000  0.64
N1 0.000 0.000 0.500  1.50
Ba1 0.000 0.000 0.000  0.04
Be1 0.500 0.500 0.500  0.18

Computed properties:
Energy relative to the elements, uncorrected   1.38 eV per atom
Energy above the most stable polymorph in this dataset   8.32 eV/f.u.
Space group   P4/mmm, No. 123


Record 12
# BaBeSe2N

A relaxed structure of BaBeSe2N (GGA-PBE, Alexandria via LeMat-Bulk).

Cell: 5.808 5.808 3.208 Å, 90.00 90.00 90.00°
Last column: magnetic moment on the atom in μB.
Sites, in units of the cell vectors:
N1 0.000 0.000 0.500  0.85
Se1 0.000 0.500 0.000  0.15
Se2 0.500 0.000 0.000  0.15
Be1 0.000 0.000 0.000  -0.03
Ba1 0.500 0.500 0.500  0.00

Computed properties:
Energy relative to the elements, uncorrected   -0.28 eV per atom
Energy above the most stable polymorph in this dataset   0.00 eV/f.u.
Space group   P4/mmm, No. 123


Record 13
# BaTaBeN3

A relaxed structure of BaTaBeN3 (GGA-PBE, Alexandria via LeMat-Bulk).

Cell: 3.229 7.345 7.391 Å, 111.10 90.00 90.00°
Sites, in units of the cell vectors:
Ta1 0.750 0.326 0.844
Ta2 0.250 0.674 0.156
N1 0.250 0.524 0.848
N2 0.750 0.476 0.152
N3 0.250 0.142 0.854
N4 0.250 0.836 0.451
N5 0.750 0.164 0.549
N6 0.750 0.858 0.146
Be1 0.250 0.076 0.604
Be2 0.750 0.924 0.396
Ba1 0.750 0.785 0.751
Ba2 0.250 0.215 0.249

Computed properties:
Energy relative to the elements, uncorrected   -1.02 eV per atom
Space group   P2_1/m, No. 11


Record 14
# BaBeTe2N

A relaxed structure of BaBeTe2N (GGA-PBE, Alexandria via LeMat-Bulk).

Cell: 6.150 6.150 3.241 Å, 90.00 90.00 90.00°
Sites, in units of the cell vectors:
Ba1 0.500 0.500 0.500
Te1 0.000 0.500 0.000
Te2 0.500 0.000 0.000
N1 0.000 0.000 0.500
Be1 0.000 0.000 0.000

Computed properties:
Energy relative to the elements, uncorrected   -0.20 eV per atom
Energy above the most stable polymorph in this dataset   0.00 eV/f.u.
Space group   P4/mmm, No. 123


Record 15
# BaBeTe2N

A relaxed structure of BaBeTe2N (GGA-PBE, Alexandria via LeMat-Bulk).

Cell: 6.640 6.640 4.339 Å, 90.00 90.00 90.00°
Sites, in units of the cell vectors:
Be1 0.500 0.500 0.500
Te1 0.500 0.000 0.000
Te2 0.000 0.500 0.000
Ba1 0.000 0.000 0.000
N1 0.000 0.000 0.500

Computed properties:
Energy relative to the elements, uncorrected   1.49 eV per atom
Energy above the most stable polymorph in this dataset   8.46 eV/f.u.
Space group   P4/mmm, No. 123


Record 16
# BaThBeN3

A relaxed structure of BaThBeN3 (GGA-PBE, Alexandria via LeMat-Bulk).

Cell: 3.580 7.855 7.488 Å, 103.56 90.00 90.00°
Sites, in units of the cell vectors:
N1 0.750 0.448 0.149
N2 0.250 0.552 0.851
N3 0.750 0.864 0.171
N4 0.250 0.858 0.481
N5 0.250 0.136 0.829
N6 0.750 0.142 0.519
Th1 0.750 0.343 0.808
Th2 0.250 0.657 0.192
Be1 0.250 0.068 0.595
Be2 0.750 0.932 0.405
Ba1 0.750 0.824 0.778
Ba2 0.250 0.176 0.222

Computed properties:
Energy relative to the elements, uncorrected   -0.91 eV per atom
Space group   P2_1/m, No. 11


Record 17
# BaUBeN3

A relaxed structure of BaUBeN3 (GGA-PBE, Alexandria via LeMat-Bulk).

Cell: 3.490 7.639 7.465 Å, 107.44 90.00 90.00°
Last column: magnetic moment on the atom in μB.
Sites, in units of the cell vectors:
N1 0.250 0.137 0.841  -0.04
N2 0.250 0.528 0.858  -0.05
N3 0.750 0.863 0.159  -0.04
N4 0.250 0.848 0.463  -0.02
N5 0.750 0.152 0.537  -0.02
N6 0.750 0.472 0.142  -0.05
Ba1 0.250 0.200 0.245  0.02
Ba2 0.750 0.800 0.755  0.02
U1 0.750 0.325 0.832  0.96
U2 0.250 0.675 0.168  0.96
Be1 0.750 0.933 0.398  0.00
Be2 0.250 0.067 0.602  0.00

Computed properties:
Energy relative to the elements, uncorrected   -1.13 eV per atom
Space group   P2_1/m, No. 11


Record 18
# Ba2BeWN4

A relaxed structure of Ba2BeWN4 (GGA-PBE, Alexandria via LeMat-Bulk).

Cell: 5.825 6.395 8.723 Å, 90.00 90.00 90.00°
Sites, in units of the cell vectors:
N1 0.000 0.340 0.178
N2 0.245 0.006 0.500
N3 0.000 0.340 0.822
N4 0.500 0.660 0.678
N5 0.745 0.994 0.000
N6 0.500 0.660 0.322
N7 0.255 0.994 0.000
N8 0.755 0.006 0.500
W1 0.500 0.818 0.500
W2 0.000 0.182 0.000
Ba1 0.500 0.257 0.742
Ba2 0.000 0.743 0.242
Ba3 0.000 0.743 0.758
Ba4 0.500 0.257 0.258
Be1 0.500 0.921 0.000
Be2 0.000 0.079 0.500

Computed properties:
Energy relative to the elements, uncorrected   -0.81 eV per atom
Space group   Pmmn, No. 59


Record 19
# BaYBeN2

A relaxed structure of BaYBeN2 (GGA-PBE, Alexandria via LeMat-Bulk).

Cell: 5.239 5.716 6.817 Å, 90.00 90.00 90.00°
Sites, in units of the cell vectors:
N1 0.758 0.846 0.000
N2 0.242 0.154 0.000
N3 0.758 0.154 0.500
N4 0.242 0.846 0.500
Ba1 0.000 0.500 0.750
Ba2 0.000 0.500 0.250
Be1 0.000 0.000 0.500
Be2 0.000 0.000 0.000
Y1 0.500 0.000 0.750
Y2 0.500 0.000 0.250

Computed properties:
Energy relative to the elements, uncorrected   -0.81 eV per atom
Space group   Pccm, No. 49


Record 20
# BaBe2ZnN

A relaxed structure of BaBe2ZnN (GGA-PBE, Alexandria via LeMat-Bulk).

Cell: 6.315 6.909 6.315 Å, 90.00 90.00 90.00°
Last column: magnetic moment on the atom in μB.
Sites, in units of the cell vectors:
Ba1 0.000 0.000 0.000  -0.17
Zn1 0.000 0.500 0.000  -0.02
Be1 0.500 0.000 0.000  -0.12
Be2 0.000 0.000 0.500  -0.04
N1 0.500 0.500 0.500  1.76

Computed properties:
Energy relative to the elements, uncorrected   2.51 eV per atom
Space group   P4/mmm, No. 123


Ordered energy results: -5.0996, -8.5658, -7.9518, -6.1699, -4.6420, -1.9553, -2.9661, -4.8192, -3.1675, -4.6672, -2.8049, -4.4694, -8.0972, -4.2559, -2.5631, -7.2530, -8.1112, -7.5378, -6.5594, -1.2882; unit eV/atom.